# Rb2Hg2PdCl4 (GGA-PBE, optimized geometry)
# Total moment ... 0.0 μB/cell
# Space group ... I4/mmm (139)
data_Rb2Hg2PdCl4
_cell_length_a 7.203
_cell_length_b 7.203
_cell_length_c 7.203
_cell_angle_alpha 115.14
_cell_angle_beta 115.14
_cell_angle_gamma 98.65
_space_group_name_H-M_alt 'P 1'
_space_group_IT_number 1
_space_group_name_Hall 'P 1'
loop_
_atom_site_label
_atom_site_type_symbol
_atom_site_fract_x
_atom_site_fract_y
_atom_site_fract_z
Rb1 Rb 0.250 0.750 0.500
Rb2 Rb 0.750 0.250 0.500
Hg1 Hg 0.173 0.173 0.000
Hg2 Hg 0.827 0.827 0.000
Pd1 Pd 0.500 0.500 0.000
Cl1 Cl 0.284 0.284 0.568
Cl2 Cl 0.284 0.716 0.000
Cl3 Cl 0.716 0.284 0.000
Cl4 Cl 0.716 0.716 0.432

---

# Rb3H4Au (GGA-PBE, optimized geometry)
# Total moment ... 0.0 μB/cell
# Space group ... Pmmn (59)
# Energy above the most stable polymorph in this dataset ... 0.000 eV/atom
data_Rb3H4Au
_cell_length_a 6.017
_cell_length_b 9.030
_cell_length_c 6.269
_cell_angle_alpha 90.00
_cell_angle_beta 90.00
_cell_angle_gamma 90.00
_space_group_name_H-M_alt 'P 1'
_space_group_IT_number 1
_space_group_name_Hall 'P 1'
loop_
_atom_site_label
_atom_site_type_symbol
_atom_site_fract_x
_atom_site_fract_y
_atom_site_fract_z
Rb1 Rb 0.250 0.001 0.191
Rb2 Rb 0.250 0.250 0.644
Rb3 Rb 0.250 0.499 0.191
Rb4 Rb 0.750 0.501 0.809
Rb5 Rb 0.750 0.750 0.356
Rb6 Rb 0.750 0.999 0.809
H1 H 0.022 0.750 0.960
H2 H 0.250 0.572 0.651
H3 H 0.250 0.928 0.651
H4 H 0.478 0.750 0.960
H5 H 0.522 0.250 0.040
H6 H 0.750 0.072 0.349
H7 H 0.750 0.428 0.349
H8 H 0.978 0.250 0.040
Au1 Au 0.250 0.750 0.756
Au2 Au 0.750 0.250 0.244

---

# KHg3Pt (GGA-PBE, optimized geometry)
# Total moment ... 0.0 μB/cell
# Space group ... C2/m (12)
# Energy above the most stable polymorph in this dataset ... 0.117 eV/atom
# ΔH_f (0 K) ... -73 kJ/mol of formula units
data_KHg3Pt
_cell_length_a 7.316
_cell_length_b 7.316
_cell_length_c 7.971
_cell_angle_alpha 105.29
_cell_angle_beta 105.29
_cell_angle_gamma 40.30
_space_group_name_H-M_alt 'P 1'
_space_group_IT_number 1
_space_group_name_Hall 'P 1'
loop_
_atom_site_label
_atom_site_type_symbol
_atom_site_fract_x
_atom_site_fract_y
_atom_site_fract_z
K1 K 0.049 0.049 0.278
K2 K 0.951 0.951 0.722
Hg1 Hg 0.186 0.186 0.992
Hg2 Hg 0.273 0.273 0.647
Hg3 Hg 0.391 0.391 0.355
Hg4 Hg 0.609 0.609 0.645
Hg5 Hg 0.727 0.727 0.353
Hg6 Hg 0.814 0.814 0.008
Pt1 Pt 0.403 0.403 0.000
Pt2 Pt 0.597 0.597 0.000

---

# La2TbCd12Ag3 (GGA-PBE, optimized geometry)
# Total moment ... 0.0 μB/cell
# Space group ... R-3m (166)
# ΔH_f (0 K) ... 164 kJ/mol of formula units
data_La2TbCd12Ag3
_cell_length_a 8.944
_cell_length_b 8.944
_cell_length_c 8.944
_cell_angle_alpha 60.09
_cell_angle_beta 60.09
_cell_angle_gamma 60.09
_space_group_name_H-M_alt 'P 1'
_space_group_IT_number 1
_space_group_name_Hall 'P 1'
loop_
_atom_site_label
_atom_site_type_symbol
_atom_site_fract_x
_atom_site_fract_y
_atom_site_fract_z
La1 La 0.083 0.083 0.083
La2 La 0.917 0.917 0.917
Tb1 Tb 0.500 0.500 0.500
Cd1 Cd 0.040 0.674 0.674
Cd2 Cd 0.260 0.260 0.662
Cd3 Cd 0.260 0.662 0.260
Cd4 Cd 0.326 0.326 0.960
Cd5 Cd 0.326 0.960 0.326
Cd6 Cd 0.338 0.740 0.740
Cd7 Cd 0.662 0.260 0.260
Cd8 Cd 0.674 0.040 0.674
Cd9 Cd 0.674 0.674 0.040
Cd10 Cd 0.740 0.338 0.740
Cd11 Cd 0.740 0.740 0.338
Cd12 Cd 0.960 0.326 0.326
Ag1 Ag 0.000 0.500 0.500
Ag2 Ag 0.500 0.000 0.500
Ag3 Ag 0.500 0.500 0.000

---

# NbGa2Mo (GGA-PBE, optimized geometry)
# Total moment ... 0.0 μB/cell
# Space group ... I-42d (122)
# Energy above the most stable polymorph in this dataset ... 0.275 eV/atom
# ΔH_f (0 K) ... 81 kJ/mol of formula units
data_NbGa2Mo
_cell_length_a 5.701
_cell_length_b 5.701
_cell_length_c 5.701
_cell_angle_alpha 103.70
_cell_angle_beta 103.70
_cell_angle_gamma 121.77
_space_group_name_H-M_alt 'P 1'
_space_group_IT_number 1
_space_group_name_Hall 'P 1'
loop_
_atom_site_label
_atom_site_type_symbol
_atom_site_fract_x
_atom_site_fract_y
_atom_site_fract_z
Nb1 Nb 0.000 0.000 0.000
Nb2 Nb 0.750 0.250 0.500
Ga1 Ga 0.132 0.125 0.507
Ga2 Ga 0.375 0.868 0.993
Ga3 Ga 0.618 0.625 0.493
Ga4 Ga 0.875 0.382 0.007
Mo1 Mo 0.250 0.750 0.500
Mo2 Mo 0.500 0.500 0.000

---

# YHg2P2 (GGA-PBE, optimized geometry)
# Total moment ... 0.0 μB/cell
# Space group ... I4/mmm (139)
# Energy above the most stable polymorph in this dataset ... 0.000 eV/atom
# ΔH_f (0 K) ... -164 kJ/mol of formula units
data_YHg2P2
_cell_length_a 8.599
_cell_length_b 8.599
_cell_length_c 8.599
_cell_angle_alpha 153.58
_cell_angle_beta 153.58
_cell_angle_gamma 37.71
_space_group_name_H-M_alt 'P 1'
_space_group_IT_number 1
_space_group_name_Hall 'P 1'
loop_
_atom_site_label
_atom_site_type_symbol
_atom_site_fract_x
_atom_site_fract_y
_atom_site_fract_z
Y1 Y 0.000 0.000 0.000
Hg1 Hg 0.250 0.750 0.500
Hg2 Hg 0.750 0.250 0.500
P1 P 0.432 0.432 0.000
P2 P 0.568 0.568 0.000

---

# Na3DySi6O15 (GGA-PBE, optimized geometry)
# Total moment ... 0.0 μB/cell
# Space group ... Cmce (64)
data_Na3DySi6O15
_cell_length_a 11.656
_cell_length_b 11.656
_cell_length_c 10.627
_cell_angle_alpha 90.00
_cell_angle_beta 90.00
_cell_angle_gamma 100.69
_space_group_name_H-M_alt 'P 1'
_space_group_IT_number 1
_space_group_name_Hall 'P 1'
loop_
_atom_site_label
_atom_site_type_symbol
_atom_site_fract_x
_atom_site_fract_y
_atom_site_fract_z
Na1 Na 0.028 0.472 0.750
Na2 Na 0.072 0.928 0.751
Na3 Na 0.238 0.238 0.000
Na4 Na 0.262 0.262 0.500
Na5 Na 0.428 0.572 0.251
Na6 Na 0.472 0.028 0.250
Na7 Na 0.528 0.972 0.750
Na8 Na 0.572 0.428 0.749
Na9 Na 0.738 0.738 0.500
Na10 Na 0.762 0.762 0.000
Na11 Na 0.928 0.072 0.249
Na12 Na 0.972 0.528 0.250
Dy1 Dy 0.159 0.341 0.250
Dy2 Dy 0.341 0.159 0.750
Dy3 Dy 0.659 0.841 0.250
Dy4 Dy 0.841 0.659 0.750
Si1 Si 0.028 0.190 0.800
Si2 Si 0.029 0.760 0.480
Si3 Si 0.085 0.705 0.965
Si4 Si 0.190 0.028 0.200
Si5 Si 0.205 0.585 0.465
Si6 Si 0.240 0.971 0.480
Si7 Si 0.260 0.529 0.980
Si8 Si 0.295 0.915 0.965
Si9 Si 0.310 0.472 0.700
Si10 Si 0.415 0.795 0.465
Si11 Si 0.471 0.740 0.980
Si12 Si 0.472 0.310 0.300
Si13 Si 0.528 0.690 0.700
Si14 Si 0.529 0.260 0.020
Si15 Si 0.585 0.205 0.535
Si16 Si 0.690 0.528 0.300
Si17 Si 0.705 0.085 0.035
Si18 Si 0.740 0.471 0.020
Si19 Si 0.760 0.029 0.520
Si20 Si 0.795 0.415 0.535
Si21 Si 0.810 0.972 0.800
Si22 Si 0.915 0.295 0.035
Si23 Si 0.971 0.240 0.520
Si24 Si 0.972 0.810 0.200
O1 O 0.001 0.722 0.088
O2 O 0.011 0.657 0.843
O3 O 0.013 0.263 0.669
O4 O 0.069 0.931 0.202
O5 O 0.078 0.252 0.425
O6 O 0.107 0.893 0.494
O7 O 0.114 0.667 0.514
O8 O 0.154 0.156 0.818
O9 O 0.156 0.154 0.182
O10 O 0.157 0.511 0.343
O11 O 0.166 0.834 0.933
O12 O 0.167 0.614 0.014
O13 O 0.222 0.501 0.588
O14 O 0.237 0.487 0.831
O15 O 0.248 0.422 0.075
O16 O 0.252 0.078 0.575
O17 O 0.263 0.013 0.331
O18 O 0.278 0.999 0.088
O19 O 0.333 0.886 0.514
O20 O 0.334 0.666 0.433
O21 O 0.343 0.989 0.843
O22 O 0.344 0.346 0.682
O23 O 0.346 0.344 0.318
O24 O 0.386 0.833 0.014
O25 O 0.393 0.607 0.994
O26 O 0.422 0.248 0.925
O27 O 0.431 0.569 0.702
O28 O 0.487 0.237 0.169
O29 O 0.489 0.843 0.343
O30 O 0.499 0.778 0.588
O31 O 0.501 0.222 0.412
O32 O 0.511 0.157 0.657
O33 O 0.513 0.763 0.831
O34 O 0.569 0.431 0.298
O35 O 0.578 0.752 0.075
O36 O 0.607 0.393 0.006
O37 O 0.614 0.167 0.986
O38 O 0.654 0.656 0.682
O39 O 0.656 0.654 0.318
O40 O 0.657 0.011 0.157
O41 O 0.666 0.334 0.567
O42 O 0.667 0.114 0.486
O43 O 0.722 0.001 0.912
O44 O 0.737 0.987 0.669
O45 O 0.748 0.922 0.425
O46 O 0.752 0.578 0.925
O47 O 0.763 0.513 0.169
O48 O 0.778 0.499 0.412
O49 O 0.833 0.386 0.986
O50 O 0.834 0.166 0.067
O51 O 0.843 0.489 0.657
O52 O 0.844 0.846 0.818
O53 O 0.846 0.844 0.182
O54 O 0.886 0.333 0.486
O55 O 0.893 0.107 0.506
O56 O 0.922 0.748 0.575
O57 O 0.931 0.069 0.798
O58 O 0.987 0.737 0.331
O59 O 0.989 0.343 0.157
O60 O 0.999 0.278 0.912

---

# La4Nd3Pb (GGA-PBE, optimized geometry)
# Total moment ... 0.0 μB/cell
# Space group ... Pmn2_1 (31)
# ΔH_f (0 K) ... -104 kJ/mol of formula units
data_La4Nd3Pb
_cell_length_a 10.223
_cell_length_b 7.238
_cell_length_c 7.317
_cell_angle_alpha 90.00
_cell_angle_beta 90.00
_cell_angle_gamma 90.00
_space_group_name_H-M_alt 'P 1'
_space_group_IT_number 1
_space_group_name_Hall 'P 1'
loop_
_atom_site_label
_atom_site_type_symbol
_atom_site_fract_x
_atom_site_fract_y
_atom_site_fract_z
La1 La 0.000 0.000 0.000
La2 La 0.000 0.498 0.504
La3 La 0.250 0.245 0.750
La4 La 0.250 0.755 0.250
La5 La 0.500 0.000 0.500
La6 La 0.500 0.502 0.004
La7 La 0.750 0.245 0.750
La8 La 0.750 0.755 0.250
Nd1 Nd 0.000 0.500 0.000
Nd2 Nd 0.250 0.229 0.251
Nd3 Nd 0.250 0.771 0.751
Nd4 Nd 0.500 0.500 0.500
Nd5 Nd 0.750 0.229 0.251
Nd6 Nd 0.750 0.771 0.751
Pb1 Pb 0.000 0.999 0.501
Pb2 Pb 0.500 0.001 0.001

---

# U2HIr (GGA-PBE, optimized geometry)
# Total moment ... 0.0 μB/cell
# Space group ... R-3m (166)
data_U2HIr
_cell_length_a 7.373
_cell_length_b 7.373
_cell_length_c 7.373
_cell_angle_alpha 25.58
_cell_angle_beta 25.58
_cell_angle_gamma 25.58
_space_group_name_H-M_alt 'P 1'
_space_group_IT_number 1
_space_group_name_Hall 'P 1'
loop_
_atom_site_label
_atom_site_type_symbol
_atom_site_fract_x
_atom_site_fract_y
_atom_site_fract_z
U1 U 0.237 0.237 0.237
U2 U 0.763 0.763 0.763
H1 H 0.500 0.500 0.500
Ir1 Ir 0.000 0.000 0.000

---

# Mg8InAg2 (GGA-PBE, optimized geometry)
# Total moment ... 0.0 μB/cell
# Space group ... P1 (1)
# Energy above the most stable polymorph in this dataset ... 0.000 eV/atom
# ΔH_f (0 K) ... -99 kJ/mol of formula units
data_Mg8InAg2
_cell_length_a 4.791
_cell_length_b 6.782
_cell_length_c 8.380
_cell_angle_alpha 113.86
_cell_angle_beta 105.66
_cell_angle_gamma 90.04
_space_group_name_H-M_alt 'P 1'
_space_group_IT_number 1
_space_group_name_Hall 'P 1'
loop_
_atom_site_label
_atom_site_type_symbol
_atom_site_fract_x
_atom_site_fract_y
_atom_site_fract_z
Mg1 Mg 0.000 0.000 0.000
Mg2 Mg 0.034 0.497 0.069
Mg3 Mg 0.210 0.378 0.426
Mg4 Mg 0.331 0.867 0.665
Mg5 Mg 0.449 0.615 0.901
Mg6 Mg 0.626 0.091 0.260
Mg7 Mg 0.660 0.665 0.329
Mg8 Mg 0.832 0.149 0.665
In1 In 0.830 0.581 0.664
Ag1 Ag 0.166 0.929 0.345
Ag2 Ag 0.494 0.249 0.985

---

# ZrReIN2 (GGA-PBE, optimized geometry)
# Total moment ... 3.5 μB/cell
# Space group ... P4/mmm (123)
# Energy above the most stable polymorph in this dataset ... 0.571 eV/atom
data_ZrReIN2
_cell_length_a 4.162
_cell_length_b 4.162
_cell_length_c 6.083
_cell_angle_alpha 90.00
_cell_angle_beta 90.00
_cell_angle_gamma 90.00
_space_group_name_H-M_alt 'P 1'
_space_group_IT_number 1
_space_group_name_Hall 'P 1'
loop_
_atom_site_label
_atom_site_type_symbol
_atom_site_fract_x
_atom_site_fract_y
_atom_site_fract_z
Zr1 Zr 0.000 0.000 0.000
Re1 Re 0.500 0.500 0.500
I1 I 0.000 0.000 0.500
N1 N 0.000 0.500 0.000
N2 N 0.500 0.000 0.000

---

# Nd2DyTm3 (GGA-PBE, optimized geometry)
# Total moment ... 0.0 μB/cell
# Space group ... C2/m (12)
# Energy above the most stable polymorph in this dataset ... 0.002 eV/atom
# ΔH_f (0 K) ... 72 kJ/mol of formula units
data_Nd2DyTm3
_cell_length_a 11.763
_cell_length_b 11.763
_cell_length_c 10.178
_cell_angle_alpha 108.22
_cell_angle_beta 108.22
_cell_angle_gamma 17.03
_space_group_name_H-M_alt 'P 1'
_space_group_IT_number 1
_space_group_name_Hall 'P 1'
loop_
_atom_site_label
_atom_site_type_symbol
_atom_site_fract_x
_atom_site_fract_y
_atom_site_fract_z
Nd1 Nd 0.069 0.069 0.132
Nd2 Nd 0.310 0.310 0.628
Nd3 Nd 0.690 0.690 0.372
Nd4 Nd 0.931 0.931 0.868
Dy1 Dy 0.311 0.311 0.964
Dy2 Dy 0.689 0.689 0.036
Tm1 Tm 0.070 0.070 0.762
Tm2 Tm 0.306 0.306 0.285
Tm3 Tm 0.442 0.442 0.555
Tm4 Tm 0.558 0.558 0.445
Tm5 Tm 0.694 0.694 0.715
Tm6 Tm 0.930 0.930 0.238

---

no.,final energy (eV per atom)
1,-2.697
2,-2.628
3,-1.761
4,-1.795
5,-6.530
6,-3.917
7,-7.367
8,-4.850
9,-8.725
10,-2.020
11,-6.469
12,-4.467